Entry 1:
The following is a PBE calculation of a geometry-optimized Sc6BiAs2Se3 structure, from Alexandria via LeMat-Bulk.

The structure in CIF format:
```
data_Sc6BiAs2Se3
_chemical_formula_sum 'Sc12 Bi2 As4 Se6'
_symmetry_space_group_name_H-M 'C 1 2/m 1'
_symmetry_Int_Tables_number 12
_symmetry_space_group_name_Hall '-C 2y'
_cell_length_a 17.218
_cell_length_b 3.929
_cell_length_c 7.932
_cell_angle_alpha 90.00
_cell_angle_beta 103.12
_cell_angle_gamma 90.00
loop_
_atom_site_label
_atom_site_fract_x
_atom_site_fract_y
_atom_site_fract_z
Sc1 0.006 0.000 0.272
Sc2 0.172 0.500 0.577
Sc3 0.175 0.500 0.104
Bi1 0.000 0.500 0.000
As1 0.168 0.000 0.336
Se1 0.000 0.500 0.500
Se2 0.163 0.000 0.833
```

Values from the calculation:
ρ in g cm⁻³: 5.5
DFT total energy in eV per atom: -6.5134
ΔE_f (raw) in meV per atom: -1378

=====

Entry 2:
The following is a PBE calculation of a geometry-optimized Ga3AgI9 structure, from Alexandria via LeMat-Bulk.

The structure in CIF format:
```
data_Ga3AgI9
_chemical_formula_sum 'Ga12 Ag4 I36'
_symmetry_space_group_name_H-M 'C 1 c 1'
_symmetry_Int_Tables_number 9
_symmetry_space_group_name_Hall 'C -2yc'
_cell_length_a 18.038
_cell_length_b 13.249
_cell_length_c 11.165
_cell_angle_alpha 90.00
_cell_angle_beta 116.89
_cell_angle_gamma 90.00
loop_
_atom_site_label
_atom_site_fract_x
_atom_site_fract_y
_atom_site_fract_z
Ga1 0.000 0.068 0.000
Ga2 0.146 0.357 0.981
Ga3 0.282 0.150 0.816
Ag1 0.343 0.394 0.636
I1 0.003 0.005 0.754
I2 0.017 0.370 0.762
I3 0.132 0.214 0.138
I4 0.149 0.161 0.599
I5 0.188 0.469 0.605
I6 0.288 0.313 0.975
I7 0.309 0.006 0.457
I8 0.358 0.327 0.402
I9 0.411 0.210 0.790
```

Values from the calculation:
ρ in g cm⁻³: 4.1
DFT total energy in eV per atom: -2.3824
ΔE_f (raw) in meV per atom: -391

=====

Entry 3:
The following is a PBE calculation of a geometry-optimized TbEr2Lu structure, from Alexandria via LeMat-Bulk.

The structure in CIF format:
```
data_TbEr2Lu
_chemical_formula_sum 'Tb4 Er8 Lu4'
_symmetry_space_group_name_H-M 'F m -3 m'
_symmetry_Int_Tables_number 225
_symmetry_space_group_name_Hall '-F 4 2 3'
_cell_length_a 7.905
_cell_length_b 7.905
_cell_length_c 7.905
_cell_angle_alpha 90.00
_cell_angle_beta 90.00
_cell_angle_gamma 90.00
loop_
_atom_site_label
_atom_site_fract_x
_atom_site_fract_y
_atom_site_fract_z
Tb1 0.000 0.000 0.000
Er1 0.250 0.250 0.250
Lu1 0.000 0.000 0.500
```

Values from the calculation:
ρ in g cm⁻³: 9.0
DFT total energy in eV per atom: -4.4258
ΔH_f (0 K) in eV per atom: 0.1434

=====

Number 1: DOS at the Fermi energy 0.48 states/eV per atom. Number 2: DOS at the Fermi energy 0.09 states/eV per atom. Number 3: DOS at the Fermi energy 2.43 states/eV per atom.